TbPr3Ho4 | the Alexandria database | PBE-GGA | relaxed; energy relative to the elements = 0.1344 eV per atom; SG = No. 71
1.0
-0.851 -2.880 -1.770
4.965 -6.164 4.210
-6.393 -3.450 5.253
Pr Tb Ho
3 1 4
direct
0.757 0.243 0.243
0.243 0.757 0.757
0.000 0.500 0.500
0.500 0.000 0.000
0.635 0.111 0.620
0.365 0.889 0.380
0.365 0.380 0.889
0.635 0.620 0.111